[1]
! Ho3Ge4Pb4 | OQMD via LeMat-Bulk | PBE | optimized geometry; values from VASP
! magnetic moment	0.004	μB per atom
! calculated total energy	-4.38	eV per atom
! calculated density	9.0	g/cm3
&SYSTEM
  ibrav = 0, nat = 11, ntyp = 3
/
ATOMIC_SPECIES
Ho 164.93 Ho.upf
Ge 72.64 Ge.upf
Pb 207.20 Pb.upf
CELL_PARAMETERS angstrom
-2.165 3.450 9.948
2.165 -3.450 9.948
2.165 3.450 -9.948
ATOMIC_POSITIONS crystal
Ho 0.000 0.000 0.000
Ho 0.387 0.887 0.500
Ho 0.613 0.113 0.500
Ge 0.049 0.359 0.690
Ge 0.331 0.641 0.690
Ge 0.669 0.359 0.310
Ge 0.951 0.641 0.310
Pb 0.231 0.231 0.000
Pb 0.293 0.500 0.793
Pb 0.707 0.500 0.207
Pb 0.769 0.769 0.000


[2]
! HoGePbS3 | OQMD via LeMat-Bulk | PBE | optimized geometry; values from VASP
! magnetic moment	0.001	μB per atom
! calculated total energy	-5.11	eV per atom
! calculated density	6.0	g/cm3
&SYSTEM
  ibrav = 0, nat = 12, ntyp = 4
/
ATOMIC_SPECIES
Ho 164.93 Ho.upf
Ge 72.64 Ge.upf
Pb 207.20 Pb.upf
S 32.06 S.upf
CELL_PARAMETERS angstrom
1.903 -7.206 0.000
1.903 7.206 0.000
0.000 0.000 10.913
ATOMIC_POSITIONS crystal
Ho 0.000 0.000 0.000
Ho 0.000 0.000 0.500
Ge 0.367 0.633 0.750
Ge 0.633 0.367 0.250
Pb 0.321 0.679 0.250
Pb 0.679 0.321 0.750
S 0.008 0.992 0.250
S 0.368 0.632 0.508
S 0.368 0.632 0.992
S 0.632 0.368 0.008
S 0.632 0.368 0.492
S 0.992 0.008 0.750


[3]
! HoTmGe2Pb2 | OQMD via LeMat-Bulk | PBE | optimized geometry; values from VASP
! magnetic moment	0.002	μB per atom
! calculated total energy	-4.73	eV per atom
! calculated density	10.0	g/cm3
&SYSTEM
  ibrav = 0, nat = 6, ntyp = 4
/
ATOMIC_SPECIES
Ho 164.93 Ho.upf
Tm 168.93 Tm.upf
Ge 72.64 Ge.upf
Pb 207.20 Pb.upf
CELL_PARAMETERS angstrom
4.123 0.000 0.000
0.000 2.203 8.166
0.000 -2.203 8.166
ATOMIC_POSITIONS crystal
Ho 0.000 0.000 0.000
Tm 0.500 0.820 0.820
Ge 0.000 0.355 0.355
Ge 0.500 0.464 0.464
Pb 0.000 0.653 0.653
Pb 0.500 0.169 0.169


[4]
! HoGePd2 | OQMD via LeMat-Bulk | PBE | optimized geometry; values from VASP
! magnetic moment	0.000	μB per atom
! calculated total energy	-5.81	eV per atom
! calculated density	10.2	g/cm3
&SYSTEM
  ibrav = 0, nat = 16, ntyp = 3
/
ATOMIC_SPECIES
Ho 164.93 Ho.upf
Ge 72.64 Ge.upf
Pd 106.42 Pd.upf
CELL_PARAMETERS angstrom
7.342 0.000 0.000
0.000 7.147 0.000
0.000 0.000 5.610
ATOMIC_POSITIONS crystal
Ho 0.028 0.250 0.145
Ho 0.472 0.750 0.645
Ho 0.528 0.250 0.355
Ho 0.972 0.750 0.855
Ge 0.119 0.750 0.357
Ge 0.381 0.250 0.857
Ge 0.619 0.750 0.143
Ge 0.881 0.250 0.643
Pd 0.183 0.051 0.587
Pd 0.183 0.449 0.587
Pd 0.317 0.551 0.087
Pd 0.317 0.949 0.087
Pd 0.683 0.051 0.913
Pd 0.683 0.449 0.913
Pd 0.817 0.551 0.413
Pd 0.817 0.949 0.413


[5]
! HoGePd | OQMD via LeMat-Bulk | PBE | optimized geometry; values from VASP
! magnetic moment	0.000	μB per atom
! calculated total energy	-5.79	eV per atom
! calculated density	9.8	g/cm3
&SYSTEM
  ibrav = 0, nat = 24, ntyp = 3
/
ATOMIC_SPECIES
Ho 164.93 Ho.upf
Ge 72.64 Ge.upf
Pd 106.42 Pd.upf
CELL_PARAMETERS angstrom
4.407 0.000 0.000
0.000 13.941 0.000
0.000 0.000 7.605
ATOMIC_POSITIONS crystal
Ho 0.250 0.001 0.214
Ho 0.250 0.250 0.296
Ho 0.250 0.499 0.214
Ho 0.250 0.750 0.290
Ho 0.750 0.250 0.710
Ho 0.750 0.501 0.786
Ho 0.750 0.750 0.704
Ho 0.750 0.999 0.786
Ge 0.250 0.107 0.592
Ge 0.250 0.393 0.592
Ge 0.250 0.652 0.909
Ge 0.250 0.848 0.909
Ge 0.750 0.152 0.091
Ge 0.750 0.348 0.091
Ge 0.750 0.607 0.408
Ge 0.750 0.893 0.408
Pd 0.250 0.141 0.923
Pd 0.250 0.359 0.923
Pd 0.250 0.595 0.582
Pd 0.250 0.905 0.582
Pd 0.750 0.095 0.418
Pd 0.750 0.405 0.418
Pd 0.750 0.641 0.077
Pd 0.750 0.859 0.077


[6]
! HoGePd2 | OQMD via LeMat-Bulk | PBE | optimized geometry; values from VASP
! magnetic moment	0.002	μB per atom
! calculated total energy	-5.68	eV per atom
! calculated density	10.0	g/cm3
&SYSTEM
  ibrav = 0, nat = 8, ntyp = 3
/
ATOMIC_SPECIES
Ho 164.93 Ho.upf
Ge 72.64 Ge.upf
Pd 106.42 Pd.upf
CELL_PARAMETERS angstrom
5.002 0.000 0.000
0.000 4.482 0.000
-1.060 0.000 6.648
ATOMIC_POSITIONS crystal
Ho 0.221 0.250 0.236
Ho 0.779 0.750 0.764
Ge 0.294 0.250 0.723
Ge 0.706 0.750 0.277
Pd 0.208 0.750 0.517
Pd 0.321 0.750 0.962
Pd 0.679 0.250 0.038
Pd 0.792 0.250 0.483


[7]
! HoGePd | OQMD via LeMat-Bulk | PBE | optimized geometry; values from VASP
! magnetic moment	0.001	μB per atom
! calculated total energy	-5.78	eV per atom
! calculated density	9.8	g/cm3
&SYSTEM
  ibrav = 0, nat = 18, ntyp = 3
/
ATOMIC_SPECIES
Ho 164.93 Ho.upf
Ge 72.64 Ge.upf
Pd 106.42 Pd.upf
CELL_PARAMETERS angstrom
-2.198 10.472 3.809
2.198 -10.472 3.809
2.198 10.472 -3.809
ATOMIC_POSITIONS crystal
Ho 0.000 0.000 0.000
Ho 0.244 0.077 0.167
Ho 0.333 0.000 0.333
Ho 0.584 0.084 0.500
Ho 0.667 0.000 0.667
Ho 0.910 0.077 0.833
Ge 0.316 0.381 0.935
Ge 0.446 0.381 0.065
Ge 0.462 0.698 0.764
Ge 0.786 0.380 0.406
Ge 0.933 0.698 0.236
Ge 0.974 0.380 0.594
Pd 0.102 0.369 0.733
Pd 0.140 0.712 0.428
Pd 0.284 0.712 0.572
Pd 0.603 0.708 0.896
Pd 0.636 0.369 0.267
Pd 0.812 0.708 0.104


[8]
! Ho3Ge4Pd2 | OQMD via LeMat-Bulk | PBE | optimized geometry; values from VASP
! magnetic moment	0.001	μB per atom
! calculated total energy	-5.59	eV per atom
! calculated density	9.1	g/cm3
&SYSTEM
  ibrav = 0, nat = 9, ntyp = 3
/
ATOMIC_SPECIES
Ho 164.93 Ho.upf
Ge 72.64 Ge.upf
Pd 106.42 Pd.upf
CELL_PARAMETERS angstrom
5.394 -2.137 0.000
5.394 2.137 0.000
-2.531 0.000 7.856
ATOMIC_POSITIONS crystal
Ho 0.000 0.000 0.000
Ho 0.373 0.373 0.304
Ho 0.627 0.627 0.696
Ge 0.075 0.075 0.397
Ge 0.291 0.291 0.934
Ge 0.709 0.709 0.066
Ge 0.925 0.925 0.603
Pd 0.310 0.310 0.635
Pd 0.690 0.690 0.365


[9]
! Ho6Ge2Pd | OQMD via LeMat-Bulk | PBE | optimized geometry; values from VASP
! magnetic moment	0.249	μB per atom
! calculated total energy	-5.26	eV per atom
! calculated density	9.1	g/cm3
&SYSTEM
  ibrav = 0, nat = 9, ntyp = 3
/
ATOMIC_SPECIES
Ho 164.93 Ho.upf
Ge 72.64 Ge.upf
Pd 106.42 Pd.upf
CELL_PARAMETERS angstrom
7.866 0.000 0.000
-3.933 6.812 0.000
0.000 0.000 4.222
ATOMIC_POSITIONS crystal
Ho 0.000 0.405 0.000
Ho 0.000 0.740 0.500
Ho 0.260 0.260 0.500
Ho 0.405 0.000 0.000
Ho 0.595 0.595 0.000
Ho 0.740 0.000 0.500
Ge 0.333 0.667 0.500
Ge 0.667 0.333 0.500
Pd 0.000 0.000 0.000


[10]
! HoGePd | OQMD via LeMat-Bulk | PBE | optimized geometry; values from VASP
! magnetic moment	0.002	μB per atom
! calculated total energy	-5.57	eV per atom
! calculated density	8.7	g/cm3
&SYSTEM
  ibrav = 0, nat = 3, ntyp = 3
/
ATOMIC_SPECIES
Ho 164.93 Ho.upf
Ge 72.64 Ge.upf
Pd 106.42 Pd.upf
CELL_PARAMETERS angstrom
0.000 3.201 3.201
3.201 0.000 3.201
3.201 3.201 0.000
ATOMIC_POSITIONS crystal
Ho 0.000 0.000 0.000
Ge 0.500 0.500 0.500
Pd 0.750 0.750 0.750


[11]
! HoGePd2 | OQMD via LeMat-Bulk | PBE | optimized geometry; values from VASP
! magnetic moment	0.001	μB per atom
! calculated total energy	-5.52	eV per atom
! calculated density	9.6	g/cm3
&SYSTEM
  ibrav = 0, nat = 8, ntyp = 3
/
ATOMIC_SPECIES
Ho 164.93 Ho.upf
Ge 72.64 Ge.upf
Pd 106.42 Pd.upf
CELL_PARAMETERS angstrom
3.900 0.000 0.000
0.000 6.445 0.000
0.000 0.000 6.225
ATOMIC_POSITIONS crystal
Ho 0.000 0.167 0.000
Ho 0.000 0.833 0.500
Ge 0.500 0.336 0.353
Ge 0.500 0.664 0.853
Pd 0.000 0.427 0.632
Pd 0.000 0.573 0.132
Pd 0.500 0.086 0.679
Pd 0.500 0.914 0.179


[12]
! HoGe3Pd4 | OQMD via LeMat-Bulk | PBE | optimized geometry; values from VASP
! magnetic moment	0.001	μB per atom
! calculated total energy	-5.46	eV per atom
! calculated density	9.5	g/cm3
&SYSTEM
  ibrav = 0, nat = 8, ntyp = 3
/
ATOMIC_SPECIES
Ho 164.93 Ho.upf
Ge 72.64 Ge.upf
Pd 106.42 Pd.upf
CELL_PARAMETERS angstrom
5.591 0.000 0.000
0.000 4.233 0.000
-0.406 0.000 5.971
ATOMIC_POSITIONS crystal
Ho 0.000 0.000 0.000
Ge 0.193 0.000 0.490
Ge 0.440 0.500 0.138
Ge 0.718 0.500 0.666
Pd 0.196 0.500 0.755
Pd 0.522 0.000 0.824
Pd 0.617 0.000 0.334
Pd 0.973 0.500 0.326


[13]
! HoGePd2 | OQMD via LeMat-Bulk | PBE | optimized geometry; values from VASP
! magnetic moment	0.001	μB per atom
! calculated total energy	-5.66	eV per atom
! calculated density	10.0	g/cm3
&SYSTEM
  ibrav = 0, nat = 8, ntyp = 3
/
ATOMIC_SPECIES
Ho 164.93 Ho.upf
Ge 72.64 Ge.upf
Pd 106.42 Pd.upf
CELL_PARAMETERS angstrom
4.411 0.000 0.000
0.000 5.844 0.000
0.000 0.000 5.777
ATOMIC_POSITIONS crystal
Ho 0.000 0.094 0.000
Ho 0.500 0.906 0.500
Ge 0.000 0.612 0.237
Ge 0.500 0.388 0.737
Pd 0.000 0.243 0.512
Pd 0.000 0.669 0.721
Pd 0.500 0.331 0.221
Pd 0.500 0.757 0.012


[14]
! YHo2Ge3PdPt2 | OQMD via LeMat-Bulk | PBE | optimized geometry; values from VASP
! magnetic moment	0.000	μB per atom
! calculated total energy	-6.22	eV per atom
! calculated density	10.7	g/cm3
&SYSTEM
  ibrav = 0, nat = 9, ntyp = 5
/
ATOMIC_SPECIES
Y 88.91 Y.upf
Ho 164.93 Ho.upf
Ge 72.64 Ge.upf
Pd 106.42 Pd.upf
Pt 195.08 Pt.upf
CELL_PARAMETERS angstrom
3.902 0.000 0.000
0.000 6.271 3.610
0.000 -6.271 3.610
ATOMIC_POSITIONS crystal
Y 0.000 0.000 0.000
Ho 0.000 0.406 0.811
Ho 0.000 0.811 0.406
Ge 0.500 0.150 0.406
Ge 0.500 0.406 0.150
Ge 0.500 0.661 0.661
Pd 0.000 0.407 0.407
Pt 0.500 0.073 0.737
Pt 0.500 0.737 0.073


[15]
! Y2HoGe3PdPt2 | OQMD via LeMat-Bulk | PBE | optimized geometry; values from VASP
! magnetic moment	0.000	μB per atom
! calculated total energy	-6.42	eV per atom
! calculated density	9.9	g/cm3
&SYSTEM
  ibrav = 0, nat = 9, ntyp = 5
/
ATOMIC_SPECIES
Y 88.91 Y.upf
Ho 164.93 Ho.upf
Ge 72.64 Ge.upf
Pd 106.42 Pd.upf
Pt 195.08 Pt.upf
CELL_PARAMETERS angstrom
3.910 0.000 0.000
0.000 6.263 3.624
0.000 -6.263 3.624
ATOMIC_POSITIONS crystal
Y 0.000 0.203 0.797
Y 0.000 0.797 0.203
Ho 0.000 0.392 0.392
Ge 0.500 0.053 0.053
Ge 0.500 0.541 0.797
Ge 0.500 0.797 0.541
Pd 0.000 0.795 0.795
Pt 0.500 0.133 0.463
Pt 0.500 0.463 0.133


[16]
! HoSiGePd2 | OQMD via LeMat-Bulk | PBE | optimized geometry; values from VASP
! magnetic moment	0.000	μB per atom
! calculated total energy	-5.86	eV per atom
! calculated density	8.9	g/cm3
&SYSTEM
  ibrav = 0, nat = 5, ntyp = 4
/
ATOMIC_SPECIES
Ho 164.93 Ho.upf
Si 28.09 Si.upf
Ge 72.64 Ge.upf
Pd 106.42 Pd.upf
CELL_PARAMETERS angstrom
-2.100 2.100 5.039
2.100 -2.100 5.039
2.100 2.100 -5.039
ATOMIC_POSITIONS crystal
Ho 0.000 0.000 0.000
Si 0.378 0.378 0.000
Ge 0.614 0.614 0.000
Pd 0.256 0.756 0.500
Pd 0.756 0.256 0.500


[17]
! Ho2SiGePd | OQMD via LeMat-Bulk | PBE | optimized geometry; values from VASP
! magnetic moment	0.050	μB per atom
! calculated total energy	-5.82	eV per atom
! calculated density	8.8	g/cm3
&SYSTEM
  ibrav = 0, nat = 10, ntyp = 4
/
ATOMIC_SPECIES
Ho 164.93 Ho.upf
Si 28.09 Si.upf
Ge 72.64 Ge.upf
Pd 106.42 Pd.upf
CELL_PARAMETERS angstrom
5.282 -2.126 0.000
5.282 2.126 0.000
-4.819 0.000 9.005
ATOMIC_POSITIONS crystal
Ho 0.003 0.003 0.327
Ho 0.184 0.184 0.111
Ho 0.816 0.816 0.889
Ho 0.997 0.997 0.673
Si 0.368 0.368 0.432
Si 0.632 0.632 0.568
Ge 0.473 0.473 0.116
Ge 0.527 0.527 0.884
Pd 0.271 0.271 0.631
Pd 0.729 0.729 0.369


[18]
! Sm2HoGe4Pd4 | OQMD via LeMat-Bulk | PBE | optimized geometry; values from VASP
! magnetic moment	0.001	μB per atom
! calculated total energy	-5.71	eV per atom
! calculated density	9.2	g/cm3
&SYSTEM
  ibrav = 0, nat = 11, ntyp = 4
/
ATOMIC_SPECIES
Sm 150.36 Sm.upf
Ho 164.93 Ho.upf
Ge 72.64 Ge.upf
Pd 106.42 Pd.upf
CELL_PARAMETERS angstrom
-2.126 3.550 7.073
2.126 -3.550 7.073
2.126 3.550 -7.073
ATOMIC_POSITIONS crystal
Sm 0.126 0.126 0.000
Sm 0.874 0.874 0.000
Ho 0.500 0.000 0.500
Ge 0.192 0.500 0.692
Ge 0.284 0.784 0.500
Ge 0.716 0.216 0.500
Ge 0.808 0.500 0.308
Pd 0.125 0.325 0.800
Pd 0.475 0.675 0.800
Pd 0.525 0.325 0.200
Pd 0.875 0.675 0.200


[19]
! Tb2HoGe4Pd4 | OQMD via LeMat-Bulk | PBE | optimized geometry; values from VASP
! magnetic moment	0.001	μB per atom
! calculated total energy	-5.72	eV per atom
! calculated density	9.5	g/cm3
&SYSTEM
  ibrav = 0, nat = 11, ntyp = 4
/
ATOMIC_SPECIES
Tb 158.93 Tb.upf
Ho 164.93 Ho.upf
Ge 72.64 Ge.upf
Pd 106.42 Pd.upf
CELL_PARAMETERS angstrom
-2.097 3.557 7.018
2.097 -3.557 7.018
2.097 3.557 -7.018
ATOMIC_POSITIONS crystal
Tb 0.126 0.126 0.000
Tb 0.874 0.874 0.000
Ho 0.500 0.000 0.500
Ge 0.188 0.500 0.688
Ge 0.282 0.782 0.500
Ge 0.718 0.218 0.500
Ge 0.812 0.500 0.312
Pd 0.124 0.325 0.799
Pd 0.474 0.675 0.799
Pd 0.526 0.325 0.201
Pd 0.876 0.675 0.201


[20]
! TbHo2Ge4Pd4 | OQMD via LeMat-Bulk | PBE | optimized geometry; values from VASP
! magnetic moment	0.001	μB per atom
! calculated total energy	-5.73	eV per atom
! calculated density	9.6	g/cm3
&SYSTEM
  ibrav = 0, nat = 11, ntyp = 4
/
ATOMIC_SPECIES
Tb 158.93 Tb.upf
Ho 164.93 Ho.upf
Ge 72.64 Ge.upf
Pd 106.42 Pd.upf
CELL_PARAMETERS angstrom
-2.089 3.557 6.997
2.089 -3.557 6.997
2.089 3.557 -6.997
ATOMIC_POSITIONS crystal
Tb 0.000 0.000 0.000
Ho 0.374 0.874 0.500
Ho 0.626 0.126 0.500
Ge 0.218 0.218 0.000
Ge 0.312 0.500 0.812
Ge 0.688 0.500 0.188
Ge 0.782 0.782 0.000
Pd 0.026 0.325 0.701
Pd 0.376 0.675 0.701
Pd 0.624 0.325 0.299
Pd 0.974 0.675 0.299